[1]
## Ac3Ga8Au3 (GGA-PBE)

Data for a geometry-optimized Ac3Ga8Au3 structure.

Summary:
space-group type	Immm (71)
ΔE to the lowest computed polymorph	4.2	meV/atom
formation energy from the elements	-0.5481	eV per atom

Cell lengths 4.6031, 8.7284, 8.7284 Å; angles 68.69, 74.71, 74.71 degrees
Closest atoms and distances in Å follow each position.
Atoms (fractional coordinates):
1 Ac 0.1886 0.8114 0.8114  10 Ga 3.25-3.55, 4 Au 3.35-3.45
2 Ga 0.1628 0.2046 0.4697  4 Ga 2.61-2.79, 1 Au 2.67
3 Ga 0.8372 0.5303 0.7954  4 Ga 2.61-2.79, 1 Au 2.67
4 Ga 0.3560 0.3680 0.9200  3 Ga 2.71-2.79, 3 Au 2.96-3.03
5 Au 0.0000 0.2176 0.7824  2 Ga 2.67
6 Ga 0.1628 0.4697 0.2046  4 Ga 2.61-2.79, 1 Au 2.67
7 Ga 0.6440 0.0800 0.6320  3 Ga 2.71-2.79, 3 Au 2.96-3.03
8 Ga 0.8372 0.7954 0.5303  4 Ga 2.61-2.79, 1 Au 2.67
9 Au 0.5000 0.0000 0.0000  4 Ga 2.96, 4 Au 3.14
10 Ac 0.8114 0.1886 0.1886  10 Ga 3.25-3.55, 4 Au 3.35-3.45
11 Ga 0.6440 0.6320 0.0800  3 Ga 2.71-2.79, 3 Au 2.96-3.03
12 Au 0.0000 0.7824 0.2176  2 Ga 2.67
13 Ga 0.3560 0.9200 0.3680  3 Ga 2.71-2.79, 3 Au 2.96-3.03
14 Ac 0.5000 0.5000 0.5000  12 Ga 3.36-3.46, 4 Au 3.61

***

[2]
## AcGa11Au (GGA-PBE)

Data for a geometry-optimized AcGa11Au structure.

Summary:
space-group type	C2/m (12)
formation energy from the elements	-0.1735	eV per atom

Cell lengths 5.8054, 7.3419, 7.1902 Å; angles 81.47, 66.19, 68.45 degrees
Closest atoms and distances in Å follow each position.
Atoms (fractional coordinates):
1 Ga 0.6441 0.3592 0.3596  4 Ga 2.67-2.97, 1 Au 2.96
2 Ga 0.2818 0.2168 0.2157  7 Ga 2.76-3.05, 1 Au 2.78
3 Ga 0.0038 0.3592 0.6404  4 Ga 2.67-2.97, 1 Au 2.96
4 Ga 0.9962 0.6408 0.3596  4 Ga 2.67-2.97, 1 Au 2.96
5 Ga 0.0000 0.0000 0.5000  10 Ga 2.76-3.02
6 Ga 0.5025 0.7832 0.2157  7 Ga 2.76-3.05, 1 Au 2.78
7 Au 0.5000 0.5000 0.0000  10 Ga 2.78-2.96
8 Ga 0.0000 0.5000 0.0000  8 Ga 2.83-2.91, 2 Au 2.90
9 Ac 0.0000 0.0000 0.0000  18 Ga 3.41-3.67, 2 Au 3.75
10 Ga 0.7182 0.7832 0.7843  7 Ga 2.76-3.05, 1 Au 2.78
11 Ga 0.5000 0.0000 0.5000  10 Ga 2.76-3.02
12 Ga 0.4975 0.2168 0.7843  7 Ga 2.76-3.05, 1 Au 2.78
13 Ga 0.3559 0.6408 0.6404  4 Ga 2.67-2.97, 1 Au 2.96

***

[3]
## Ac4Ga2Au5 (GGA-PBE)

Data for a geometry-optimized Ac4Ga2Au5 structure.

Summary:
space-group type	P2/m (10)
formation energy from the elements	-0.7305	eV per atom

Cell lengths 4.1348, 8.0150, 9.1767 Å; angles 85.93, 90.00, 90.00 degrees
Closest atoms and distances in Å follow each position.
Atoms (fractional coordinates):
1 Ga 0.0000 0.0648 0.6187  1 Ga 2.48, 2 Au 2.63-2.65
2 Au 0.0000 0.3924 0.6293  1 Ga 2.63, 1 Au 2.83
3 Au 0.0000 0.6076 0.3707  1 Ga 2.63, 1 Au 2.83
4 Au 0.0000 0.8866 0.8732  1 Ga 2.65
5 Ac 0.5000 0.2315 0.8696  8 Au 3.22-3.45, 2 Ga 3.44
6 Ac 0.5000 0.7214 0.6421  6 Au 3.30-3.41, 4 Ga 3.44-3.52
7 Ga 0.0000 0.9352 0.3813  1 Ga 2.48, 2 Au 2.63-2.65
8 Ac 0.5000 0.2786 0.3579  6 Au 3.30-3.41, 4 Ga 3.44-3.52
9 Au 0.0000 0.5000 0.0000  4 Au 3.23-3.57, 4 Ac 3.27
10 Au 0.0000 0.1134 0.1268  1 Ga 2.65
11 Ac 0.5000 0.7685 0.1304  8 Au 3.22-3.45, 2 Ga 3.44